First-principles (PBE-GGA) data for NiPb2W after structural relaxation, as listed in Alexandria.

Cell: 3.140 3.140 8.600 Å, 90.00 90.00 109.67°
Atoms (fractional coordinates):
Ni 0.000 0.000 0.000
Pb 0.500 0.500 0.232
Pb 0.500 0.500 0.768
W 0.000 0.000 0.500

Summary:
Fermi-level density of states in states/eV per cell: 3.9
Energy of formation from the pure elements in eV/atom: 0.8714